Compound: Mo2RhAu
Source: Alexandria
Functional: PBE
Structure: relaxed

Output
E_form ... 0.058 eV per atom
Energy above the lowest structure with this stoichiometry ... 18.6 meV/atom
Theoretical density ... 12.8 g cm⁻³

a = 2.7582 Å, b = 2.7582 Å, c = 8.3860 Å
α = 90.00°, β = 90.00°, γ = 90.00°
Space group P4mm (No. 99)
Asymmetric unit:
Mo 0.0000 0.0000 0.0000 [1 per cell]
Mo 0.5000 0.5000 0.2627 [1 per cell]
Rh 0.0000 0.0000 0.4780 [1 per cell]
Au 0.5000 0.5000 0.7432 [1 per cell]

Compound: CaBeSn
Source: Alexandria
Functional: PBE
Structure: relaxed

Output
E_form ... -0.279 eV per atom
Theoretical density ... 4.0 g cm⁻³

a = 4.2394 Å, b = 4.2394 Å, c = 4.4819 Å
α = 90.00°, β = 90.00°, γ = 120.00°
Space group P-6m2 (No. 187)
Asymmetric unit:
Ca 0.0000 0.0000 0.0000 [1 per cell]
Be 0.3333 0.6667 0.5000 [1 per cell]
Sn 0.6667 0.3333 0.5000 [1 per cell]

Compound: Cd2Si2Sn
Source: Alexandria
Functional: PBE
Structure: relaxed

Output
Formation energy from raw total energies ... 253 meV per atom
Energy above the lowest structure with this stoichiometry ... 0.0 meV/atom
Theoretical density ... 6.0 g cm⁻³

a = 3.4858 Å, b = 3.4858 Å, c = 18.1668 Å
α = 90.00°, β = 90.00°, γ = 90.00°
Space group I4/mmm (No. 139)
Asymmetric unit:
Cd 0.0000 0.0000 0.1149 [4 per cell]
Si 0.0000 0.5000 0.2500 [4 per cell]
Sn 0.0000 0.0000 0.5000 [2 per cell]

Compound: PuUSi2
Source: Alexandria
Functional: PBE
Structure: relaxed

Output
Formation energy from raw total energies ... 242 meV per atom
Energy above the lowest structure with this stoichiometry ... 608.9 meV/atom
Theoretical density ... 11.6 g cm⁻³

a = 2.8669 Å, b = 2.8669 Å, c = 32.3374 Å
α = 90.00°, β = 90.00°, γ = 120.00°
Space group R-3m (No. 166, hexagonal axes)
Asymmetric unit:
Pu 0.0000 0.0000 0.0000 [3 per cell]
U 0.0000 0.0000 0.5000 [3 per cell]
Si 0.0000 0.0000 0.0893 [6 per cell]

Compound: Tb2Pr5Ho3
Source: Alexandria
Functional: PBE
Structure: relaxed

Output
E_form ... 0.364 eV per atom
Energy above the lowest structure with this stoichiometry ... 189.0 meV/atom
Theoretical density ... 7.0 g cm⁻³

a = 9.4811 Å, b = 13.7560 Å, c = 11.0382 Å
α = 90.00°, β = 90.00°, γ = 90.00°
Space group Ibam (No. 72)
Asymmetric unit:
Tb 0.0882 0.1183 0.0000 [8 per cell]
Pr 0.0000 0.2459 0.2500 [8 per cell]
Pr 0.0000 0.5000 0.2500 [4 per cell]
Pr 0.1044 0.3704 0.5000 [8 per cell]
Ho 0.0000 0.0000 0.2500 [4 per cell]
Ho 0.2489 0.3767 0.0000 [8 per cell]

Compound: NaLa3Ti
Source: Alexandria
Functional: PBE
Structure: relaxed

Output
E_form ... 0.397 eV per atom
Theoretical density ... 4.3 g cm⁻³

a = 5.7146 Å, b = 5.7146 Å, c = 5.7146 Å
α = 90.00°, β = 90.00°, γ = 90.00°
Space group Pm-3m (No. 221)
Asymmetric unit:
Na 0.0000 0.0000 0.0000 [1 per cell]
La 0.0000 0.5000 0.5000 [3 per cell]
Ti 0.5000 0.5000 0.5000 [1 per cell]